! SbPRu2, optimized geometry, DFT GGA-PBE; values from VASP
&SYSTEM
  ibrav = 0, nat = 4, ntyp = 3
/
ATOMIC_SPECIES
Sb 121.76 Sb.upf
P 30.97 P.upf
Ru 101.07 Ru.upf
ATOMIC_POSITIONS crystal
Sb 0.000 0.000 0.000
P 0.500 0.500 0.500
Ru 0.250 0.250 0.250
Ru 0.750 0.750 0.750
CELL_PARAMETERS angstrom
0.000 3.135 3.135
3.135 0.000 3.135
3.135 3.135 0.000
! Theoretical density ... 9.6 g cm⁻³
! DFT total energy ... -6.917 eV/atom
! ΔE to the lowest computed polymorph ... 325.1 meV/atom
! SG ... Fm-3m (225)

***

! SbP2Ru, optimized geometry, DFT GGA-PBE; values from VASP
&SYSTEM
  ibrav = 0, nat = 4, ntyp = 3
/
ATOMIC_SPECIES
Sb 121.76 Sb.upf
P 30.97 P.upf
Ru 101.07 Ru.upf
ATOMIC_POSITIONS crystal
Sb 0.000 0.000 0.000
P 0.000 0.500 0.500
P 0.500 0.000 0.500
Ru 0.500 0.500 0.000
CELL_PARAMETERS angstrom
4.613 0.000 0.000
0.000 4.613 0.000
0.000 0.000 3.094
! Theoretical density ... 7.2 g cm⁻³
! DFT total energy ... -5.487 eV/atom
! SG ... P4/mmm (123)

***

! SbPRu2, optimized geometry, DFT GGA-PBE; values from VASP
&SYSTEM
  ibrav = 0, nat = 4, ntyp = 3
/
ATOMIC_SPECIES
Sb 121.76 Sb.upf
P 30.97 P.upf
Ru 101.07 Ru.upf
ATOMIC_POSITIONS crystal
Sb 0.000 0.000 0.000
P 0.756 0.256 0.500
Ru 0.321 0.821 0.500
Ru 0.622 0.622 0.000
CELL_PARAMETERS angstrom
-1.528 1.630 6.611
1.528 -1.630 6.611
1.528 1.630 -6.611
! Theoretical density ... 8.9 g cm⁻³
! DFT total energy ... -7.201 eV/atom
! ΔE to the lowest computed polymorph ... 40.6 meV/atom
! SG ... Imm2 (44)

***

! Sb2PRu, optimized geometry, DFT GGA-PBE; values from VASP
&SYSTEM
  ibrav = 0, nat = 4, ntyp = 3
/
ATOMIC_SPECIES
Sb 121.76 Sb.upf
P 30.97 P.upf
Ru 101.07 Ru.upf
ATOMIC_POSITIONS crystal
Sb 0.000 0.000 0.000
Sb 0.748 0.748 0.406
P 0.568 0.568 0.689
Ru 0.276 0.276 0.741
CELL_PARAMETERS angstrom
3.840 -1.806 0.000
3.840 1.806 0.000
-1.211 0.000 6.444
! Theoretical density ... 7.0 g cm⁻³
! DFT total energy ... -5.773 eV/atom
! SG ... Cm (8)

***

! SbP2Ru, optimized geometry, DFT GGA-PBE; values from VASP
&SYSTEM
  ibrav = 0, nat = 4, ntyp = 3
/
ATOMIC_SPECIES
Sb 121.76 Sb.upf
P 30.97 P.upf
Ru 101.07 Ru.upf
ATOMIC_POSITIONS crystal
Sb 0.000 0.000 0.000
P 0.432 0.000 0.594
P 0.710 0.500 0.427
Ru 0.239 0.500 0.716
CELL_PARAMETERS angstrom
3.822 0.000 0.000
0.000 4.355 0.000
-0.849 0.000 4.620
! Theoretical density ... 6.1 g cm⁻³
! DFT total energy ... -5.944 eV/atom
! SG ... Pm (6)

***

! SbP2Ru, optimized geometry, DFT GGA-PBE; values from VASP
&SYSTEM
  ibrav = 0, nat = 4, ntyp = 3
/
ATOMIC_SPECIES
Sb 121.76 Sb.upf
P 30.97 P.upf
Ru 101.07 Ru.upf
ATOMIC_POSITIONS crystal
Sb 0.000 0.000 0.000
P 0.192 0.692 0.500
P 0.306 0.306 0.000
Ru 0.660 0.160 0.500
CELL_PARAMETERS angstrom
-1.584 1.822 6.674
1.584 -1.822 6.674
1.584 1.822 -6.674
! Theoretical density ... 6.1 g cm⁻³
! DFT total energy ... -5.963 eV/atom
! SG ... Imm2 (44)

***

! SbP2Ru, optimized geometry, DFT GGA-PBE; values from VASP
&SYSTEM
  ibrav = 0, nat = 4, ntyp = 3
/
ATOMIC_SPECIES
Sb 121.76 Sb.upf
P 30.97 P.upf
Ru 101.07 Ru.upf
ATOMIC_POSITIONS crystal
Sb 0.000 0.000 0.000
P 0.249 0.500 0.639
P 0.751 0.500 0.361
Ru 0.500 0.000 0.500
CELL_PARAMETERS angstrom
4.296 0.000 0.000
0.000 3.872 0.000
-1.240 0.000 4.398
! Theoretical density ... 6.5 g cm⁻³
! DFT total energy ... -6.088 eV/atom
! SG ... P2/m (10)

***

! SbP2Ru, optimized geometry, DFT GGA-PBE; values from VASP
&SYSTEM
  ibrav = 0, nat = 4, ntyp = 3
/
ATOMIC_SPECIES
Sb 121.76 Sb.upf
P 30.97 P.upf
Ru 101.07 Ru.upf
ATOMIC_POSITIONS crystal
Sb 0.000 0.000 0.000
P 0.000 0.500 0.500
P 0.500 0.000 0.500
Ru 0.500 0.500 0.000
CELL_PARAMETERS angstrom
3.859 0.000 0.000
0.000 3.859 0.000
0.000 0.000 4.574
! Theoretical density ... 6.9 g cm⁻³
! DFT total energy ... -5.414 eV/atom
! SG ... P4/mmm (123)

***

| no. | formation energy without anion corrections (meV per atom) |
| --- | --- |
| 1 | 104 |
| 2 | 568 |
| 3 | -180 |
| 4 | -41 |
| 5 | 111 |
| 6 | 92 |
| 7 | -34 |
| 8 | 640 |